1.
The following is a PBE calculation of a relaxed structure of Ta2PdPtI, from the Alexandria database.

- calculated density (Mg/m³) = 10.76
- total DFT energy (no corrections) (eV per atom) = -6.189
- density of states at the Fermi level (states/eV per cell) = 6.4
- formation energy without anion corrections (eV per atom) = 1.1088

a b c (Å): 4.9045 4.9045 5.0713
angles (deg): 90.00 90.00 90.00
Space group P4/mmm (No. 123)
Asymmetric unit:
Ta 0.0000 0.5000 0.0000 x2
Pd 0.0000 0.0000 0.5000 x1
Pt 0.0000 0.0000 0.0000 x1
I 0.5000 0.5000 0.5000 x1


2.
The following is a PBE calculation of a relaxed structure of Dy8SiBi2, from the Alexandria database.

- calculated density (Mg/m³) = 9.04
- total DFT energy (no corrections) (eV per atom) = -4.920
- density of states at the Fermi level (states/eV per cell) = 24.5
- formation energy without anion corrections (eV per atom) = -0.3747

a b c (Å): 18.3863 4.9484 7.0532
angles (deg): 90.00 90.68 90.00
Space group C2/m (No. 12)
Asymmetric unit:
Dy 0.0192 0.0000 0.2627 x4
Dy 0.0935 0.5000 0.9456 x4
Dy 0.1510 0.5000 0.4259 x4
Dy 0.2171 0.0000 0.1398 x4
Si 0.0000 0.5000 0.5000 x2
Bi 0.1728 0.0000 0.6934 x4


3.
The following is a PBE calculation of a relaxed structure of TbNd2Cu, from the Alexandria database.

- calculated density (Mg/m³) = 7.44
- total DFT energy (no corrections) (eV per atom) = -4.599
- density of states at the Fermi level (states/eV per cell) = 9.1
- energy above the most stable polymorph in this dataset (meV per atom) = 8

a b c (Å): 4.9884 7.7755 6.3873
angles (deg): 90.00 112.97 90.00
Space group P2_1/m (No. 11)
Asymmetric unit:
Tb 0.0446 0.2500 0.0884 x2
Nd 0.3547 0.0300 0.7102 x4
Cu 0.2014 0.7500 0.4006 x2


4.
The following is a PBE calculation of a relaxed structure of La2DySb, from the Alexandria database.

- calculated density (Mg/m³) = 7.45
- total DFT energy (no corrections) (eV per atom) = -4.972
- density of states at the Fermi level (states/eV per cell) = 18.0
- formation energy without anion corrections (eV per atom) = -0.3276
- energy above the most stable polymorph in this dataset (meV per atom) = 239

a b c (Å): 7.9434 7.9434 7.9434
angles (deg): 90.00 90.00 90.00
Space group Fm-3m (No. 225)
Asymmetric unit:
La 0.2500 0.2500 0.2500 x8
Dy 0.0000 0.0000 0.0000 x4
Sb 0.0000 0.0000 0.5000 x4